Here is HfZr2Si2 after structural relaxation from OQMD. Energies are from PBE-GGA.

a = 6.593 Å, b = 6.593 Å, c = 6.593 Å
α = 144.37°, β = 144.37°, γ = 51.27°
Sites, in units of the cell vectors:
Hf (0.000, 0.000, 0.000)
Si (0.405, 0.405, 0.000)
Si (0.595, 0.595, 0.000)
Zr (0.750, 0.250, 0.500)
Zr (0.250, 0.750, 0.500)

## Properties
Excess energy over the best structure of this formula in the dataset, meV/atom: 408
Mass density, Mg/m³: 7.2
Spin magnetization, μB per cell: 0.01